The following is a PBE-GGA calculation of an optimized crystal structure of AgSn2Pd, from Alexandria.

Cell lengths 9.666, 9.666, 9.666 Å; angles 19.76, 19.76, 19.76 degrees
Atoms (fractional coordinates):
Ag (0.000, 0.000, 0.000)
Sn (0.096, 0.096, 0.096)
Sn (0.904, 0.904, 0.904)
Pd (0.500, 0.500, 0.500)

Summary:
**DOS at the Fermi energy**: 0.4784 states/eV per atom
**Mass density**: 8.30 g/cm³
**Final energy**: -4.1205 eV/atom
**E_form**: -0.4 eV per formula unit

***

The following is a PBE-GGA calculation of an optimized crystal structure of ReBi3Os, from Alexandria.

Cell lengths 5.255, 5.255, 5.255 Å; angles 90.00, 90.00, 90.00 degrees
Atoms (fractional coordinates):
Re (0.000, 0.000, 0.000)
Bi (0.000, 0.500, 0.500)
Bi (0.500, 0.000, 0.500)
Bi (0.500, 0.500, 0.000)
Os (0.500, 0.500, 0.500)

Summary:
**DOS at the Fermi energy**: 1.3016 states/eV per atom
**Mass density**: 11.48 g/cm³
**Final energy**: -5.3500 eV/atom
**E_form**: 8.6 eV per formula unit

***

The following is a PBE-GGA calculation of an optimized crystal structure of AlInGaS4, from Alexandria.

Cell lengths 7.430, 7.430, 7.430 Å; angles 121.39, 115.54, 92.75 degrees
Atoms (fractional coordinates):
Al (0.500, 0.000, 0.000)
Al (0.500, 0.500, 0.500)
In (0.000, 0.000, 0.000)
In (0.500, 0.000, 0.500)
Ga (0.108, 0.358, 0.750)
Ga (0.892, 0.642, 0.250)
S (0.260, 0.253, 0.493)
S (0.260, 0.767, 0.007)
S (0.290, 0.747, 0.543)
S (0.296, 0.253, 0.043)
S (0.704, 0.747, 0.957)
S (0.710, 0.253, 0.457)
S (0.740, 0.233, 0.993)
S (0.740, 0.747, 0.507)

Summary:
**DOS at the Fermi energy**: 0.1897 states/eV per atom
**Mass density**: 3.82 g/cm³
**Raw formation energy**: -63 kJ/mol of atoms
**Final energy**: -4.3653 eV/atom

***

The following is a PBE-GGA calculation of an optimized crystal structure of SbW2Au, from Alexandria.

Cell lengths 4.684, 4.684, 4.684 Å; angles 60.00, 60.00, 60.00 degrees
Atoms (fractional coordinates):
Sb (0.000, 0.000, 0.000)
W (0.500, 0.500, 0.500)
W (0.750, 0.750, 0.750)
Au (0.250, 0.250, 0.250)

Summary:
**DOS at the Fermi energy**: 0.8382 states/eV per atom
**Mass density**: 15.68 g/cm³
**Raw formation energy**: 80 kJ/mol of atoms
**Final energy**: -7.4972 eV/atom

***

The following is a PBE-GGA calculation of an optimized crystal structure of LaZn2AgAu2, from Alexandria.

Cell lengths 4.573, 4.573, 6.819 Å; angles 90.00, 90.00, 120.00 degrees
Atoms (fractional coordinates):
La (0.000, 0.000, 0.000)
Zn (0.333, 0.667, 0.683)
Zn (0.667, 0.333, 0.317)
Ag (0.000, 0.000, 0.500)
Au (0.333, 0.667, 0.273)
Au (0.667, 0.333, 0.727)

Summary:
**DOS at the Fermi energy**: 0.6612 states/eV per atom
**Mass density**: 10.38 g/cm³
**Final energy**: -3.2860 eV/atom
**E_form**: -2.8 eV per formula unit

***

The following is a PBE-GGA calculation of an optimized crystal structure of RhW2Se, from Alexandria.

Cell lengths 5.178, 5.178, 5.178 Å; angles 136.85, 136.85, 62.67 degrees
Atoms (fractional coordinates):
Rh (0.000, 0.000, 0.000)
W (0.250, 0.750, 0.500)
W (0.750, 0.250, 0.500)
Se (0.500, 0.500, 0.000)

Summary:
**DOS at the Fermi energy**: 0.8297 states/eV per atom
**Mass density**: 14.23 g/cm³
**Raw formation energy**: 50 kJ/mol of atoms
**Final energy**: -8.6650 eV/atom

***

Number 6 is which compound? RhW2Se

***

Which formula does entry 4 have? SbW2Au

***

Which of these has the highest DOS at the Fermi energy? ReBi3Os